The following is a DFT calculation (PBE-GGA) of Ta3MoOs2 after structural relaxation.

```
data_Ta3MoOs2
_space_group_name_H-M_alt 'P 1'
_space_group_IT_number 1
_cell_length_a 3.1981
_cell_length_b 3.1981
_cell_length_c 9.6146
_cell_angle_alpha 90.00
_cell_angle_beta 90.00
_cell_angle_gamma 90.00
loop_
_space_group_symop_operation_xyz
'x,y,z'
loop_
_atom_site_label
_atom_site_type_symbol
_atom_site_fract_x
_atom_site_fract_y
_atom_site_fract_z
Ta1 Ta 0.0000 0.0000 0.0000
Ta2 Ta 0.0000 0.0000 0.3376
Ta3 Ta 0.0000 0.0000 0.6624
Mo1 Mo 0.5000 0.5000 0.5000
Os1 Os 0.5000 0.5000 0.1642
Os2 Os 0.5000 0.5000 0.8358
```

Output
* calculated density: 17.21 g cm⁻³
* volume: 16.39 A^3/atom
* total magnetization: 0.0000 μB per atom
* formation energy from the elements: -0.30 eV per atom